[1]
Crystalline KAlSn at its relaxed geometry. Source: Alexandria via LeMat-Bulk, functional GGA-PBE.

* ρ: 3.6 Mg/m³
* magnetic moment: 0.0 μB per formula unit
* calculated total energy: -3.062 eV/atom
* symmetry: No. 12

Geometry as POSCAR:
```
KAlSn
1.0
8.6033 0.0000 -0.0170
4.3759 2.4798 -4.0464
-4.3759 2.4798 4.0464
K Sn Al
2 2 2
Direct
0.3286 0.9176 0.0824 K
0.6714 0.0824 0.9176 K
0.9204 0.6650 0.3350 Sn
0.0796 0.3350 0.6650 Sn
0.2715 0.6479 0.3521 Al
0.7285 0.3521 0.6479 Al
```


[2]
Crystalline KAlSn at its relaxed geometry. Source: Alexandria via LeMat-Bulk, functional GGA-PBE.

* ρ: 2.3 Mg/m³
* magnetic moment: 0.0 μB per formula unit
* calculated total energy: -2.867 eV/atom
* symmetry: No. 91

Geometry as POSCAR:
```
KAlSn
1.0
-2.9666 -6.7285 -3.5630
-1.0065 -3.4438 7.3414
-7.2313 2.9744 0.4038
K Sn Al
4 4 4
Direct
0.0000 0.6399 0.0000 K
0.0000 0.3601 0.5000 K
0.3601 0.0000 0.2500 K
0.6399 0.0000 0.7500 K
0.5000 0.6949 0.0000 Sn
0.5000 0.3051 0.5000 Sn
0.3051 0.5000 0.2500 Sn
0.6949 0.5000 0.7500 Sn
0.6272 0.6272 0.3750 Al
0.3728 0.3728 0.8750 Al
0.3728 0.6272 0.6250 Al
0.6272 0.3728 0.1250 Al
```